Compound: TaReIr2
Source: the Alexandria database
Functional: meta-GGA SCAN
Structure: PBEsol geometry

It has space group P4/mmm (No. 123), with a = 3.904 Å, b = 3.904 Å, c = 3.889 Å, α = 90.00°, β = 90.00° and γ = 90.00°. The inequivalent atoms are Ta at (0.000, 0.000, 0.000), Re at (0.500, 0.500, 0.000) and Ir at (0.000, 0.500, 0.500).

As for the crystal system: tetragonal. For the density of states at the Fermi level, the calculation gives 2.2 states/eV/f.u. For the distance to the lowest polymorph of the same formula, the calculation gives 0.000 eV/atom. Its formation energy is -2.41 eV per formula unit.